DyCoO | PBE with a Hubbard U | optimized geometry

The space group is P2_1/m (No. 11) and the conventional cell measures 3.2631, 3.2631 and 8.2367 Å, with angles of 90.00, 90.21 and 90.00 degrees. Symmetry generates all atoms from Dy at (0.2486, 0.2500, 0.3238), Co at (0.2500, 0.7500, 0.0000) and O at (0.2509, 0.2500, 0.6118).

The total moment comes out at 1.51 μB/f.u. Its density of states at the Fermi level is 0.849 states/eV/f.u. Its total energy is -6.539 eV per atom.